# 1
First-principles (PBE) data for crystalline Sc3V2Si3 at its relaxed geometry, as listed in the Alexandria database. Values from VASP.

Structure (Quantum ESPRESSO input):
```
&SYSTEM
  ibrav = 0, nat = 16, ntyp = 3
/
ATOMIC_SPECIES
Sc 44.96 Sc.upf
V 50.94 V.upf
Si 28.09 Si.upf
CELL_PARAMETERS angstrom
7.643 0.000 0.000
-3.821 6.619 0.000
0.000 0.000 5.178
ATOMIC_POSITIONS crystal
Sc 0.000 0.243 0.250
Sc 0.000 0.757 0.750
Sc 0.243 0.000 0.250
Sc 0.243 0.243 0.750
Sc 0.757 0.000 0.750
Sc 0.757 0.757 0.250
V 0.333 0.667 0.000
V 0.333 0.667 0.500
V 0.667 0.333 0.000
V 0.667 0.333 0.500
Si 0.000 0.407 0.750
Si 0.000 0.593 0.250
Si 0.407 0.000 0.750
Si 0.407 0.407 0.250
Si 0.593 0.000 0.250
Si 0.593 0.593 0.750
```

Output
The uncorrected energy is -7.37 eV per atom. For the density of states at the Fermi level, the calculation gives 6.45 states/eV/f.u. The uncorrected formation energy is -0.68 eV per atom.



# 2
First-principles (PBE) data for crystalline PaGaNi5 at its relaxed geometry, as listed in the Alexandria database. Values from VASP.

Structure (Quantum ESPRESSO input):
```
&SYSTEM
  ibrav = 0, nat = 7, ntyp = 3
/
ATOMIC_SPECIES
Pa 231.04 Pa.upf
Ga 69.72 Ga.upf
Ni 58.69 Ni.upf
CELL_PARAMETERS angstrom
3.834 0.000 0.000
0.000 3.834 0.000
0.000 0.000 6.843
ATOMIC_POSITIONS crystal
Pa 0.000 0.000 0.000
Ga 0.000 0.000 0.500
Ni 0.000 0.500 0.275
Ni 0.000 0.500 0.725
Ni 0.500 0.000 0.275
Ni 0.500 0.000 0.725
Ni 0.500 0.500 0.000
```

Output
The uncorrected energy is -6.15 eV per atom. The energy relative to the lowest polymorph listed for this composition comes out at 0.1900 eV per atom. For the density of states at the Fermi level, the calculation gives 2.98 states/eV/f.u. The calculation puts the formation energy at -0.235 eV per atom.